A relaxed structure of NdPuS2O, computed with PBE.

a = 3.9303 Å, b = 3.9303 Å, c = 14.1102 Å
α = 90.00°, β = 90.00°, γ = 90.00°
Positions (direct):
Nd 0.5000 0.0000 0.1251
Nd 0.0000 0.5000 0.8749
Pu 0.5000 0.0000 0.5862
Pu 0.0000 0.5000 0.4138
S 0.0000 0.5000 0.6837
S 0.0000 0.5000 0.0920
S 0.5000 0.0000 0.9080
S 0.5000 0.0000 0.3163
O 0.0000 0.0000 0.5000
O 0.5000 0.5000 0.5000

***

A relaxed structure of NdPuSbO2, computed with PBE.

a = 3.9478 Å, b = 3.9478 Å, c = 7.1575 Å
α = 106.01°, β = 106.01°, γ = 90.00°
Positions (direct):
Nd 0.8435 0.8435 0.6869
Pu 0.1589 0.1589 0.3177
Sb 0.5050 0.5050 0.0100
O 0.7463 0.2463 0.4927
O 0.2463 0.7463 0.4927

***

A relaxed structure of NdPuScO6, computed with PBE.

a = 5.5523 Å, b = 5.5523 Å, c = 9.9908 Å
α = 90.00°, β = 90.00°, γ = 120.00°
Positions (direct):
Nd 0.0000 0.0000 0.0000
Nd 0.0000 0.0000 0.5000
Pu 0.6667 0.3333 0.2500
Pu 0.3333 0.6667 0.7500
Sc 0.3333 0.6667 0.2500
Sc 0.6667 0.3333 0.7500
O 0.6470 0.6395 0.1399
O 0.9925 0.3530 0.1399
O 0.3530 0.9925 0.6399
O 0.0075 0.6470 0.8601
O 0.3605 0.3530 0.3601
O 0.9925 0.6395 0.3601
O 0.6395 0.9925 0.8601
O 0.6470 0.0075 0.3601
O 0.0075 0.3605 0.6399
O 0.3605 0.0075 0.1399
O 0.6395 0.6470 0.6399
O 0.3530 0.3605 0.8601

***

A relaxed structure of Nd2PuScO8, computed with PBE.

a = 4.1006 Å, b = 5.4873 Å, c = 7.4905 Å
α = 93.87°, β = 89.09°, γ = 97.82°
Positions (direct):
Nd 0.5053 0.4738 0.7375
Nd 0.4947 0.5262 0.2625
Pu 0.0000 0.0000 0.0000
Sc 0.0000 0.0000 0.5000
O 0.0490 0.7758 0.2469
O 0.5821 0.7818 0.0063
O 0.9299 0.2305 0.2046
O 0.9510 0.2242 0.7531
O 0.4179 0.2182 0.9937
O 0.0701 0.7695 0.7954
O 0.5779 0.7622 0.5240
O 0.4221 0.2378 0.4760

***

A relaxed structure of NdPuSeO2, computed with PBE.

a = 3.9181 Å, b = 3.9181 Å, c = 6.8304 Å
α = 106.67°, β = 106.67°, γ = 90.00°
Positions (direct):
Nd 0.8504 0.8504 0.7008
Pu 0.1524 0.1524 0.3047
Se 0.5003 0.5003 0.0006
O 0.7485 0.2485 0.4969
O 0.2485 0.7485 0.4969

***

A relaxed structure of NdPu2SeO4, computed with PBE.

a = 3.9114 Å, b = 3.9114 Å, c = 8.9060 Å
α = 90.00°, β = 90.00°, γ = 90.00°
Positions (direct):
Nd 0.0000 0.0000 0.0000
Pu 0.5000 0.5000 0.2868
Pu 0.5000 0.5000 0.7132
Se 0.0000 0.0000 0.5000
O 0.0000 0.5000 0.1662
O 0.5000 0.0000 0.8338
O 0.5000 0.0000 0.1662
O 0.0000 0.5000 0.8338

***

A relaxed structure of NdPuSe2O, computed with PBE.

a = 4.0469 Å, b = 4.0469 Å, c = 14.7670 Å
α = 90.00°, β = 90.00°, γ = 90.00°
Positions (direct):
Nd 0.5000 0.0000 0.1291
Nd 0.0000 0.5000 0.8709
Pu 0.5000 0.0000 0.5778
Pu 0.0000 0.5000 0.4222
Se 0.0000 0.5000 0.6808
Se 0.0000 0.5000 0.0896
Se 0.5000 0.0000 0.9104
Se 0.5000 0.0000 0.3192
O 0.0000 0.0000 0.5000
O 0.5000 0.5000 0.5000

***

A relaxed structure of NdPuSi2O8, computed with PBE.

a = 5.8938 Å, b = 5.8938 Å, c = 5.8938 Å
α = 106.32°, β = 106.32°, γ = 115.97°
Positions (direct):
Nd 0.0000 0.0000 0.0000
Pu 0.2500 0.7500 0.5000
Si 0.7500 0.2500 0.5000
Si 0.5000 0.5000 0.0000
O 0.4015 0.0737 0.3277
O 0.3372 0.5220 0.1848
O 0.3372 0.1523 0.8152
O 0.7460 0.0737 0.6723
O 0.8477 0.6628 0.1848
O 0.9263 0.2540 0.3277
O 0.9263 0.5985 0.6723
O 0.4780 0.6628 0.8152

***

A relaxed structure of Sr2NdPuO6, computed with PBE.

a = 6.0322 Å, b = 6.2012 Å, c = 8.6378 Å
α = 90.00°, β = 90.17°, γ = 90.00°
Positions (direct):
Sr 0.0128 0.9532 0.2514
Sr 0.5128 0.5468 0.7514
Sr 0.9872 0.0468 0.7486
Sr 0.4872 0.4532 0.2486
Nd 0.5000 0.0000 0.0000
Nd 0.0000 0.5000 0.5000
Pu 0.5000 0.0000 0.5000
Pu 0.0000 0.5000 0.0000
O 0.2854 0.6895 0.0535
O 0.7854 0.8105 0.5535
O 0.7146 0.3105 0.9465
O 0.2146 0.1895 0.4465
O 0.3121 0.7150 0.4378
O 0.8121 0.7850 0.9378
O 0.6879 0.2850 0.5622
O 0.1879 0.2150 0.0622
O 0.8925 0.5457 0.2367
O 0.3925 0.9543 0.7367
O 0.1075 0.4543 0.7633
O 0.6075 0.0457 0.2633

***

A relaxed structure of NdPu2TaO8, computed with PBE.

a = 5.0786 Å, b = 5.0750 Å, c = 6.9444 Å
α = 90.00°, β = 90.00°, γ = 89.80°
Positions (direct):
Nd 0.0000 0.0000 0.5000
Pu 0.5000 0.5000 0.7567
Pu 0.5000 0.5000 0.2433
Ta 0.0000 0.0000 0.0000
O 0.1873 0.8122 0.2141
O 0.7126 0.7127 0.0000
O 0.8126 0.1877 0.2141
O 0.8127 0.1878 0.7859
O 0.2874 0.2873 0.0000
O 0.1874 0.8123 0.7859
O 0.6767 0.6775 0.5000
O 0.3233 0.3225 0.5000

***

A relaxed structure of TbNdPuO6, computed with PBE.

a = 5.7958 Å, b = 5.7958 Å, c = 9.7395 Å
α = 90.00°, β = 90.00°, γ = 120.00°
Positions (direct):
Tb 0.3333 0.6667 0.2500
Tb 0.6667 0.3333 0.7500
Nd 0.0000 0.0000 0.0000
Nd 0.0000 0.0000 0.5000
Pu 0.6667 0.3333 0.2500
Pu 0.3333 0.6667 0.7500
O 0.6628 0.6354 0.1365
O 0.9726 0.3372 0.1365
O 0.3372 0.9726 0.6365
O 0.0274 0.6628 0.8635
O 0.3646 0.3372 0.3635
O 0.9726 0.6354 0.3635
O 0.6354 0.9726 0.8635
O 0.6628 0.0274 0.3635
O 0.0274 0.3646 0.6365
O 0.3646 0.0274 0.1365
O 0.6354 0.6628 0.6365
O 0.3372 0.3646 0.8635

***

A relaxed structure of Tb2NdPuO8, computed with PBE.

a = 5.1459 Å, b = 5.1462 Å, c = 7.1091 Å
α = 90.00°, β = 90.00°, γ = 90.25°
Positions (direct):
Tb 0.5000 0.5000 0.7428
Tb 0.5000 0.5000 0.2572
Nd 0.0000 0.0000 0.5000
Pu 0.0000 0.0000 0.0000
O 0.1848 0.8140 0.2148
O 0.7234 0.7247 0.0000
O 0.8152 0.1860 0.2148
O 0.8152 0.1860 0.7852
O 0.2766 0.2753 0.0000
O 0.1848 0.8140 0.7852
O 0.6840 0.6856 0.5000
O 0.3160 0.3144 0.5000

***

| no. | total energy (eV/atom) |
| --- | --- |
| 1 | -8.753 |
| 2 | -9.046 |
| 3 | -9.179 |
| 4 | -8.747 |
| 5 | -9.222 |
| 6 | -9.946 |
| 7 | -8.380 |
| 8 | -8.666 |
| 9 | -8.241 |
| 10 | -10.106 |
| 11 | -8.973 |
| 12 | -8.712 |